VASP calculation (PBE) on crystalline Y2HoSc8 at its relaxed geometry.

Cell lengths 5.5026, 8.7270, 9.1347 Å; angles 61.47, 72.48, 50.95 degrees
Sites, in units of the cell vectors:
Y1 0.0000 0.3092 0.3816
Y2 0.0000 0.6908 0.6184
Ho1 0.5000 0.0000 0.0000
Sc1 0.7755 0.0976 0.2542
Sc2 0.7755 0.3518 0.7458
Sc3 0.2423 0.4995 0.0000
Sc4 0.5000 0.7981 0.4038
Sc5 0.5000 0.2019 0.5962
Sc6 0.7577 0.5005 0.0000
Sc7 0.2245 0.6482 0.2542
Sc8 0.2245 0.9024 0.7458

E: -6.0603 eV/atom
crystal system: orthorhombic
symmetry: Immm
energy of formation from the pure elements: 0.1359 eV per atom



VASP calculation (PBE) on crystalline ScTe2RuN at its relaxed geometry.

Cell lengths 5.4390, 5.4390, 3.6931 Å; angles 90.00, 90.00, 90.00 degrees
Sites, in units of the cell vectors:
Sc1 0.5000 0.5000 0.5000
Ru1 0.0000 0.0000 0.0000
Te1 0.0000 0.5000 0.0000
Te2 0.5000 0.0000 0.0000
N1 0.0000 0.0000 0.5000

E: -6.1251 eV/atom
crystal system: tetragonal
symmetry: P4/mmm
relative energy among the computed polymorphs: 0 meV/atom
formation energy (no corrections): -0.082 eV per atom



VASP calculation (PBE) on crystalline Pm2Sm3Ir2 at its relaxed geometry.

Cell lengths 3.9108, 6.4848, 9.1136 Å; angles 114.86, 90.00, 107.55 degrees
Sites, in units of the cell vectors:
Pm1 0.8312 0.6624 0.1914
Pm2 0.1688 0.3376 0.8086
Sm1 0.5000 0.0000 0.0000
Sm2 0.6178 0.2357 0.4284
Sm3 0.3822 0.7643 0.5716
Ir1 0.8217 0.6434 0.7588
Ir2 0.1783 0.3566 0.2412

E: -6.4395 eV/atom
crystal system: monoclinic
symmetry: C2/m
energy of formation from the pure elements: -0.5279 eV per atom



VASP calculation (PBE) on crystalline SrSn3Ru at its relaxed geometry.

Cell lengths 5.1791, 5.1791, 5.1791 Å; angles 90.00, 90.00, 90.00 degrees
Sites, in units of the cell vectors:
Ru1 0.0000 0.0000 0.0000
Sn1 0.0000 0.5000 0.0000
Sn2 0.0000 0.0000 0.5000
Sn3 0.5000 0.0000 0.0000
Sr1 0.5000 0.5000 0.5000

E: -4.6894 eV/atom
crystal system: cubic
symmetry: Pm-3m
energy of formation from the pure elements: -0.0962 eV per atom



VASP calculation (PBE) on crystalline CePr2Hg at its relaxed geometry.

Cell lengths 4.7996, 4.9991, 4.9991 Å; angles 90.00, 90.00, 90.00 degrees
Sites, in units of the cell vectors:
Pr1 0.0000 0.0000 0.5000
Pr2 0.0000 0.5000 0.0000
Hg1 0.5000 0.0000 0.0000
Ce1 0.5000 0.5000 0.5000

E: -4.0654 eV/atom
crystal system: tetragonal
symmetry: P4/mmm
energy of formation from the pure elements: -0.1167 eV per atom
relative energy among the computed polymorphs: 71 meV/atom



VASP calculation (PBE) on crystalline ScTcPt at its relaxed geometry.

Cell lengths 6.5038, 6.5038, 2.8389 Å; angles 77.39, 77.40, 25.21 degrees
Sites, in units of the cell vectors:
Pt1 0.9915 0.9915 0.0085
Sc1 0.6666 0.6666 0.3334
Tc1 0.3418 0.3418 0.6582

E: -7.9577 eV/atom
crystal system: tetragonal
symmetry: I4mm
energy of formation from the pure elements: -0.3783 eV per atom
relative energy among the computed polymorphs: 201 meV/atom



What did the fourth record say?
VASP calculation (PBE) on crystalline SrSn3Ru at its relaxed geometry.

Cell lengths 5.1791, 5.1791, 5.1791 Å; angles 90.00, 90.00, 90.00 degrees
Sites, in units of the cell vectors:
Ru1 0.0000 0.0000 0.0000
Sn1 0.0000 0.5000 0.0000
Sn2 0.0000 0.0000 0.5000
Sn3 0.5000 0.0000 0.0000
Sr1 0.5000 0.5000 0.5000

E: -4.6894 eV/atom
crystal system: cubic
symmetry: Pm-3m
energy of formation from the pure elements: -0.0962 eV per atom